[1]
DFT (PBE) results for a relaxed GaSiS3 crystal.

Space group ... C2/m
Polymorph energy (0 for the lowest one) ... 0 meV per atom
Magnetization ... 0.0 μB per formula unit

a b c (Å): 3.4395 7.4856 9.9732
angles (deg): 98.21 90.00 103.28
Last column: nearest neighbours and their distance in Å.
Atoms (fractional coordinates):
Ga1 0.5740 0.1480 0.9606  1 Ga 2.40, 4 S 2.47-2.48
Ga2 0.4260 0.8520 0.0394  1 Ga 2.40, 4 S 2.47-2.48
S1 0.1658 0.3315 0.1017  1 Si 2.17
S2 0.0631 0.1262 0.7805  1 Si 2.16
S3 0.3717 0.7435 0.6028  2 Si 2.18
S4 0.9369 0.8738 0.2195  1 Si 2.16
S5 0.6283 0.2565 0.3972  2 Si 2.18
S6 0.8342 0.6685 0.8983  1 Si 2.17
Si1 0.9136 0.8271 0.7309  4 S 2.16-2.18
Si2 0.0864 0.1729 0.2691  4 S 2.16-2.18



[2]
DFT (PBE) results for a relaxed Ga2Si2S crystal.

Space group ... Cm
Polymorph energy (0 for the lowest one) ... 4 meV per atom
Magnetization ... 0.0 μB per formula unit

a b c (Å): 4.9191 3.7052 11.5366
angles (deg): 90.00 94.20 90.00
Last column: nearest neighbours and their distance in Å.
Atoms (fractional coordinates):
Si1 0.3311 0.0000 0.7603  2 Si 2.37, 2 Ga 2.44-2.45
Si2 0.3311 0.5000 0.2603  2 Si 2.37, 2 Ga 2.44-2.45
Si3 0.1574 0.5000 0.8602  2 Si 2.37, 3 Ga 2.47-2.60
Si4 0.1574 0.0000 0.3602  2 Si 2.37, 3 Ga 2.47-2.60
Ga1 0.7856 0.5000 0.3622  1 S 2.36, 3 Si 2.45-2.60
Ga2 0.4087 0.0000 0.5536  2 S 2.41, 2 Si 2.44-2.47
Ga3 0.4087 0.5000 0.0536  2 S 2.41, 2 Si 2.44-2.47
Ga4 0.7856 0.0000 0.8622  1 S 2.36, 3 Si 2.45-2.60
S1 0.7223 0.0000 0.0629  3 Ga 2.36-2.41
S2 0.7223 0.5000 0.5629  3 Ga 2.36-2.41



[3]
DFT (PBE) results for a relaxed GaSi3S crystal.

Space group ... Pm-3m
Polymorph energy (0 for the lowest one) ... 0 meV per atom
Magnetization ... 0.0 μB per formula unit

a b c (Å): 4.6199 4.6199 4.6199
angles (deg): 90.00 90.00 90.00
Last column: nearest neighbours and their distance in Å.
Atoms (fractional coordinates):
Ga1 0.5000 0.5000 0.5000  12 Si 3.27
Si1 0.0000 0.5000 0.0000  2 S 2.31
Si2 0.5000 0.0000 0.0000  2 S 2.31
Si3 0.0000 0.0000 0.5000  2 S 2.31
S1 0.0000 0.0000 0.0000  6 Si 2.31



[4]
DFT (PBE) results for a relaxed GaSi3S crystal.

Space group ... Pm-3m
Polymorph energy (0 for the lowest one) ... 253 meV per atom
Magnetization ... 0.0 μB per formula unit

a b c (Å): 4.7732 4.7732 4.7732
angles (deg): 90.00 90.00 90.00
Last column: nearest neighbours and their distance in Å.
Atoms (fractional coordinates):
Si1 0.5000 0.0000 0.0000  2 Ga 2.39
Si2 0.0000 0.0000 0.5000  2 Ga 2.39
Si3 0.0000 0.5000 0.0000  2 Ga 2.39
S1 0.5000 0.5000 0.5000  12 Si 3.38
Ga1 0.0000 0.0000 0.0000  6 Si 2.39



[5]
DFT (PBE) results for a relaxed GaSi2S4 crystal.

Space group ... I4/m
Total energy ... -32.8 eV/f.u.
Magnetization ... 0.0 μB per formula unit

a b c (Å): 6.2977 6.2977 6.2977
angles (deg): 101.73 101.73 126.40
Last column: nearest neighbours and their distance in Å.
Atoms (fractional coordinates):
S1 0.3481 0.1442 0.4923  2 Si 2.19
S2 0.6519 0.8558 0.5077  2 Si 2.19
S3 0.1442 0.6519 0.7962  2 Si 2.19
S4 0.8558 0.3481 0.2038  2 Si 2.19
Si1 0.2500 0.7500 0.5000  4 S 2.19
Si2 0.7500 0.2500 0.5000  4 S 2.19
Ga1 0.5000 0.5000 0.0000  4 S 3.08



[6]
DFT (PBE) results for a relaxed Ga2Si2S crystal.

Space group ... P1
Polymorph energy (0 for the lowest one) ... 14 meV per atom
Magnetization ... 0.0 μB per formula unit

a b c (Å): 3.7349 4.7219 6.3251
angles (deg): 85.14 72.86 89.97
Last column: nearest neighbours and their distance in Å.
Atoms (fractional coordinates):
Si1 0.6364 0.5935 0.7046  2 Si 2.39, 3 Ga 2.45-2.60
Si2 0.1454 0.2803 0.6870  1 S 2.21, 2 Si 2.39
Ga1 0.0259 0.8260 0.9271  3 Si 2.48-2.60, 1 Ga 2.49
Ga2 0.8203 0.8564 0.3359  2 S 2.45, 1 Si 2.45, 1 Ga 2.49
S1 0.3209 0.1923 0.3343  1 Si 2.21, 2 Ga 2.45